# 1
Entry from Alexandria via LeMat-Bulk: an optimized crystal structure of ErAlBi (PBE).

a b c (Å): 4.5768 15.6635 4.3898
angles (deg): 90.00 90.00 90.00
Last column: nearest neighbours and their distance in Å.
Atoms (fractional coordinates):
Er1 0.0000 0.0909 0.2500  6 Al 3.16-3.24, 4 Bi 3.34-3.37
Er2 0.0000 0.9091 0.7500  6 Al 3.16-3.24, 4 Bi 3.34-3.37
Er3 0.5000 0.4091 0.7500  6 Al 3.16-3.24, 4 Bi 3.34-3.37
Er4 0.5000 0.5909 0.2500  6 Al 3.16-3.24, 4 Bi 3.34-3.37
Al1 0.0000 0.4519 0.2500  2 Al 2.66
Al2 0.0000 0.5481 0.7500  2 Al 2.66
Al3 0.5000 0.0481 0.7500  2 Al 2.66
Al4 0.5000 0.9519 0.2500  2 Al 2.66
Bi1 0.0000 0.2513 0.7500  4 Bi 3.17, 4 Er 3.34-3.37
Bi2 0.0000 0.7487 0.2500  4 Bi 3.17, 4 Er 3.34-3.37
Bi3 0.5000 0.2487 0.2500  4 Bi 3.17, 4 Er 3.34-3.37
Bi4 0.5000 0.7513 0.7500  4 Bi 3.17, 4 Er 3.34-3.37

* total DFT energy (no corrections): -4.406 eV/atom
* energy relative to the elements: -0.344 eV per atom
* V: 314.7 Å³ per cell
* spin magnetization: 0.00 μB/f.u.
* space-group type: No. 63



# 2
Entry from Alexandria via LeMat-Bulk: an optimized crystal structure of BeNiW (PBE).

a b c (Å): 2.6213 3.8622 7.1515
angles (deg): 90.00 92.53 90.00
Last column: nearest neighbours and their distance in Å.
Atoms (fractional coordinates):
Be1 0.0000 0.0000 0.0000  4 Ni 2.29-2.30, 2 W 2.48-2.50
Be2 0.0167 0.5000 0.5002  2 Ni 2.45-2.46, 4 W 2.56, 2 Be 2.62
Ni1 0.1860 0.5000 0.8412  3 Be 2.30-2.46, 1 Ni 2.48, 2 W 2.55
Ni2 0.8532 0.5000 0.1606  3 Be 2.29-2.45, 1 Ni 2.48, 2 W 2.55
W1 0.4138 0.0000 0.3219  5 Be 2.50-2.77, 4 Ni 2.55-2.66, 3 W 2.57-2.62
W2 0.6176 0.0000 0.6770  5 Be 2.48-2.76, 4 Ni 2.55-2.68, 3 W 2.57-2.62

* total DFT energy (no corrections): -7.445 eV/atom
* E above lowest polymorph: 283.8 meV per atom
* energy relative to the elements: 0.042 eV per atom
* V: 72.3 Å³ per cell
* spin magnetization: 0.00 μB/f.u.
* space-group type: No. 6



# 3
Entry from Alexandria via LeMat-Bulk: an optimized crystal structure of NaZrInF6 (PBE).

a b c (Å): 5.9893 5.9893 5.5798
angles (deg): 90.00 90.00 120.00
Last column: nearest neighbours and their distance in Å.
Atoms (fractional coordinates):
Na1 0.0000 0.0000 0.0000  6 F 2.35
Zr1 0.3333 0.6667 0.0000  6 F 2.05
In1 0.6667 0.3333 0.5000  6 F 2.81
F1 0.0630 0.3706 0.2040  1 Zr 2.05
F2 0.0630 0.6924 0.7960  1 Zr 2.05
F3 0.3076 0.3706 0.7960  1 Zr 2.05
F4 0.3076 0.9370 0.2040  1 Zr 2.05
F5 0.6294 0.6924 0.2040  1 Zr 2.05
F6 0.6294 0.9370 0.7960  1 Zr 2.05

* total DFT energy (no corrections): -5.723 eV/atom
* uncorrected formation energy: -3.0745 eV per atom
* V: 173.4 Å³ per cell
* spin magnetization: 0.00 μB/f.u.
* space-group type: No. 149



# 4
Entry from Alexandria via LeMat-Bulk: an optimized crystal structure of Co2TcSe (PBE).

a b c (Å): 2.8672 3.5228 5.1544
angles (deg): 90.00 90.00 90.00
Last column: nearest neighbours and their distance in Å.
Atoms (fractional coordinates):
Co1 0.0000 0.0000 0.2369  2 Co 2.44-2.71, 4 Tc 2.58, 4 Se 2.65
Co2 0.0000 0.0000 0.7631  2 Co 2.44-2.71, 4 Tc 2.58, 4 Se 2.65
Tc1 0.5000 0.5000 0.0000  2 Se 2.58, 8 Co 2.58, 2 Tc 2.87
Se1 0.5000 0.5000 0.5000  2 Tc 2.58, 8 Co 2.65, 2 Se 2.87

* total DFT energy (no corrections): -6.746 eV/atom
* uncorrected formation energy: 0.2699 eV per atom
* V: 52.1 Å³ per cell
* spin magnetization: 0.00 μB/f.u.
* space-group type: No. 47



# 5
Entry from Alexandria via LeMat-Bulk: an optimized crystal structure of KGa3Tc (PBE).

a b c (Å): 8.9333 8.9333 5.6009
angles (deg): 90.09 90.09 72.56
Last column: nearest neighbours and their distance in Å.
Atoms (fractional coordinates):
K1 0.0875 0.3069 0.0005  5 Ga 3.16-3.48, 1 K 3.33
K2 0.3069 0.0875 0.5005  5 Ga 3.16-3.48, 1 K 3.33
K3 0.6931 0.9125 0.4995  5 Ga 3.16-3.48, 1 K 3.33
K4 0.9125 0.6931 0.9995  5 Ga 3.16-3.48, 1 K 3.33
Ga1 0.0958 0.8593 0.4992  4 Ga 2.58-2.88, 2 Tc 2.61
Ga2 0.1225 0.5551 0.5010  3 Ga 2.57-2.66, 2 Tc 2.74-2.75
Ga3 0.1407 0.9042 0.0008  4 Ga 2.58-2.88, 2 Tc 2.61
Ga4 0.3964 0.4142 0.9984  4 Ga 2.57-2.81, 4 Tc 2.63-2.77
Ga5 0.4142 0.3964 0.4984  4 Ga 2.57-2.81, 4 Tc 2.63-2.77
Ga6 0.4449 0.8775 0.9990  3 Ga 2.57-2.66, 2 Tc 2.74-2.75
Ga7 0.5551 0.1225 0.0010  3 Ga 2.57-2.66, 2 Tc 2.74-2.75
Ga8 0.5858 0.6036 0.5016  4 Ga 2.57-2.81, 4 Tc 2.63-2.77
Ga9 0.6036 0.5858 0.0016  4 Ga 2.57-2.81, 4 Tc 2.63-2.77
Ga10 0.8593 0.0958 0.9992  4 Ga 2.58-2.88, 2 Tc 2.61
Ga11 0.8775 0.4449 0.4990  3 Ga 2.57-2.66, 2 Tc 2.74-2.75
Ga12 0.9042 0.1407 0.5008  4 Ga 2.58-2.88, 2 Tc 2.61
Tc1 0.3240 0.6760 0.7500  8 Ga 2.61-2.77, 2 Tc 2.80
Tc2 0.3246 0.6754 0.2500  8 Ga 2.61-2.76, 2 Tc 2.80
Tc3 0.6754 0.3246 0.7500  8 Ga 2.61-2.76, 2 Tc 2.80
Tc4 0.6760 0.3240 0.2500  8 Ga 2.61-2.77, 2 Tc 2.80

* total DFT energy (no corrections): -4.090 eV/atom
* E above lowest polymorph: 195.1 meV per atom
* energy relative to the elements: 0.018 eV per atom
* V: 426.4 Å³ per cell
* spin magnetization: 0.00 μB/f.u.
* space-group type: No. 15



# 6
Entry from Alexandria via LeMat-Bulk: an optimized crystal structure of TbNd3Ir8 (PBE).

a b c (Å): 9.3895 9.3895 9.3895
angles (deg): 33.59 33.59 33.59
Last column: nearest neighbours and their distance in Å.
Atoms (fractional coordinates):
Tb1 0.0000 0.0000 0.0000  12 Ir 3.16-3.18, 4 Nd 3.31-3.32
Nd1 0.1248 0.1248 0.1248  12 Ir 3.18-3.20, 1 Tb 3.31, 3 Nd 3.33
Nd2 0.5003 0.5003 0.5003  12 Ir 3.18-3.20, 4 Nd 3.32-3.33
Nd3 0.6254 0.6254 0.6254  12 Ir 3.16-3.18, 3 Tb 3.32, 1 Nd 3.32
Ir1 0.0615 0.5622 0.5622  6 Ir 2.70-2.72
Ir2 0.0629 0.0629 0.5642  6 Ir 2.70-2.72
Ir3 0.0629 0.5642 0.0629  6 Ir 2.70-2.72
Ir4 0.3128 0.3128 0.3128  6 Ir 2.70
Ir5 0.5622 0.0615 0.5622  6 Ir 2.70-2.72
Ir6 0.5622 0.5622 0.0615  6 Ir 2.70-2.72
Ir7 0.5642 0.0629 0.0629  6 Ir 2.70-2.72
Ir8 0.8127 0.8127 0.8127  6 Ir 2.72

* total DFT energy (no corrections): -8.205 eV/atom
* energy relative to the elements: -0.720 eV per atom
* V: 225.7 Å³ per cell
* spin magnetization: 0.00 μB/f.u.
* space-group type: No. 160



# 7
Entry from Alexandria via LeMat-Bulk: an optimized crystal structure of YAlTl2 (PBE).

a b c (Å): 3.6389 5.9667 9.8985
angles (deg): 90.00 90.00 90.00
Last column: nearest neighbours and their distance in Å.
Atoms (fractional coordinates):
Y1 0.0000 0.0000 0.0000  4 Tl 3.25, 6 Y 3.49-3.64
Y2 0.5000 0.5000 0.0000  4 Tl 3.25, 6 Y 3.49-3.64
Al1 0.0000 0.0000 0.5000  4 Tl 2.90
Al2 0.5000 0.5000 0.5000  4 Tl 2.90
Tl1 0.0000 0.5000 0.2721  2 Al 2.90
Tl2 0.0000 0.5000 0.7279  2 Al 2.90
Tl3 0.5000 0.0000 0.2721  2 Al 2.90
Tl4 0.5000 0.0000 0.7279  2 Al 2.90

* total DFT energy (no corrections): -3.637 eV/atom
* E above lowest polymorph: 308.0 meV per atom
* energy relative to the elements: 0.097 eV per atom
* V: 214.9 Å³ per cell
* spin magnetization: 0.00 μB/f.u.
* space-group type: No. 65



# 8
Entry from Alexandria via LeMat-Bulk: an optimized crystal structure of Pr4SnTeC (PBE).

a b c (Å): 8.9594 8.9594 7.1629
angles (deg): 90.00 90.00 133.01
Last column: nearest neighbours and their distance in Å.
Atoms (fractional coordinates):
Pr1 0.0000 0.5000 0.0000  2 C 2.53
Pr2 0.0000 0.5000 0.5000  2 C 2.53
Pr3 0.0890 0.9110 0.7500  1 C 2.62
Pr4 0.4079 0.5921 0.7500  1 C 2.62
Pr5 0.5000 0.0000 0.0000  2 C 2.53
Pr6 0.5000 0.0000 0.5000  2 C 2.53
Pr7 0.5921 0.4079 0.2500  1 C 2.62
Pr8 0.9110 0.0890 0.2500  1 C 2.62
Sn1 0.1096 0.8904 0.2500  9 Pr 3.26-3.60
Sn2 0.8904 0.1096 0.7500  9 Pr 3.26-3.60
Te1 0.3891 0.6109 0.2500  9 Pr 3.33-3.59
Te2 0.6109 0.3891 0.7500  9 Pr 3.33-3.59
C1 0.2486 0.7514 0.7500  6 Pr 2.53-2.62
C2 0.7514 0.2486 0.2500  6 Pr 2.53-2.62

* total DFT energy (no corrections): -5.696 eV/atom
* uncorrected formation energy: -0.6265 eV per atom
* V: 420.4 Å³ per cell
* spin magnetization: 0.00 μB/f.u.
* space-group type: No. 63



# 9
Entry from Alexandria via LeMat-Bulk: an optimized crystal structure of CuRe4As (PBE).

a b c (Å): 5.2123 5.2123 5.2123
angles (deg): 60.00 60.00 60.00
Last column: nearest neighbours and their distance in Å.
Atoms (fractional coordinates):
Cu1 0.0000 0.0000 0.0000  12 Re 3.06, 4 As 3.19
Re1 0.1244 0.6252 0.6252  6 Re 2.60-2.61
Re2 0.6252 0.1244 0.6252  6 Re 2.60-2.61
Re3 0.6252 0.6252 0.1244  6 Re 2.60-2.61
Re4 0.6252 0.6252 0.6252  6 Re 2.60-2.61
As1 0.2500 0.2500 0.2500  12 Re 3.06, 4 Cu 3.19

* total DFT energy (no corrections): -8.936 eV/atom
* energy relative to the elements: 0.821 eV per atom
* V: 100.1 Å³ per cell
* spin magnetization: 0.00 μB/f.u.
* space-group type: No. 216



# 10
Entry from Alexandria via LeMat-Bulk: an optimized crystal structure of Li3Cr (PBE).

a b c (Å): 10.6117 3.1010 4.8275
angles (deg): 90.00 115.25 90.00
Last column: nearest neighbours and their distance in Å.
Atoms (fractional coordinates):
Li1 0.0000 0.0000 0.0000  6 Li 2.83-3.10, 4 Cr 2.87
Li2 0.2464 0.5000 0.2479  8 Li 2.83-3.10, 2 Cr 2.89
Li3 0.2536 0.0000 0.7521  8 Li 2.83-3.10, 2 Cr 2.89
Li4 0.5000 0.5000 0.0000  6 Li 2.83-3.10, 4 Cr 2.87
Li5 0.7464 0.0000 0.2479  8 Li 2.83-3.10, 2 Cr 2.89
Li6 0.7536 0.5000 0.7521  8 Li 2.83-3.10, 2 Cr 2.89
Cr1 0.0000 0.5000 0.5000  8 Li 2.87-2.89, 2 Cr 3.10
Cr2 0.5000 0.0000 0.5000  8 Li 2.87-2.89, 2 Cr 3.10

* total DFT energy (no corrections): -3.472 eV/atom
* E above lowest polymorph: 3.5 meV per atom
* energy relative to the elements: 0.369 eV per atom
* V: 143.7 Å³ per cell
* spin magnetization: 4.49 μB/f.u.
* space-group type: No. 12